1.
# KCaIr2 PBE-GGA optimized geometry
# DOS(E_F): 6.19 states/eV/f.u.
# crystal system: tetragonal
# SG: P4/mmm (123)
data_KCaIr2
_cell_length_a 2.9053
_cell_length_b 2.9053
_cell_length_c 9.6255
_cell_angle_alpha 90.00
_cell_angle_beta 90.00
_cell_angle_gamma 90.00
_symmetry_space_group_name_H-M 'P 1'
_symmetry_Int_Tables_number 1
loop_
_symmetry_equiv_pos_as_xyz
'x,y,z'
loop_
_atom_site_label
_atom_site_fract_x
_atom_site_fract_y
_atom_site_fract_z
_atom_site_occupancy
Ir1 0.0000 0.0000 0.5248 1
Ir2 0.0000 0.0000 0.9752 1
K1 0.5000 0.5000 0.2500 1
Ca1 0.5000 0.5000 0.7500 1


2.
# LiCaRu2 PBE-GGA optimized geometry
# DOS(E_F): 3.95 states/eV/f.u.
# crystal system: orthorhombic
# SG: Cmmm (65)
data_LiCaRu2
_cell_length_a 2.7614
_cell_length_b 2.7614
_cell_length_c 9.2353
_cell_angle_alpha 90.00
_cell_angle_beta 90.00
_cell_angle_gamma 114.43
_symmetry_space_group_name_H-M 'P 1'
_symmetry_Int_Tables_number 1
loop_
_symmetry_equiv_pos_as_xyz
'x,y,z'
loop_
_atom_site_label
_atom_site_fract_x
_atom_site_fract_y
_atom_site_fract_z
_atom_site_occupancy
Li1 0.5000 0.5000 0.7500 1
Ru1 0.0000 0.0000 0.9879 1
Ru2 0.0000 0.0000 0.5121 1
Ca1 0.5000 0.5000 0.2500 1


3.
# Er8ZnTe4S3 PBE-GGA optimized geometry
# formation energy (no corrections): -1395 meV per atom
# DOS(E_F): 8.82 states/eV/f.u.
# crystal system: trigonal
# SG: R-3m (166)
data_Er8ZnTe4S3
_cell_length_a 8.1469
_cell_length_b 8.3853
_cell_length_c 8.1471
_cell_angle_alpha 119.07
_cell_angle_beta 120.00
_cell_angle_gamma 90.00
_symmetry_space_group_name_H-M 'P 1'
_symmetry_Int_Tables_number 1
loop_
_symmetry_equiv_pos_as_xyz
'x,y,z'
loop_
_atom_site_label
_atom_site_fract_x
_atom_site_fract_y
_atom_site_fract_z
_atom_site_occupancy
Er1 0.7627 0.2881 0.0254 1
Te1 0.5000 0.0000 0.0000 1
Er2 0.2656 0.2968 0.5312 1
Te2 0.0000 0.0000 0.0000 1
S1 0.5000 0.5000 0.0000 1
Er3 0.7372 0.7119 0.9746 1
Er4 0.7344 0.7032 0.4688 1
Zn1 0.0000 0.5000 0.0000 1
Er5 0.2373 0.7119 0.4747 1
S2 0.5000 0.5000 0.5000 1
Te3 0.0000 0.0000 0.5000 1
Er6 0.7627 0.2881 0.5253 1
Te4 0.5000 0.0000 0.5000 1
S3 0.0000 0.5000 0.5000 1
Er7 0.2373 0.7119 0.9746 1
Er8 0.2628 0.2881 0.0254 1


4.
# Dy2Zn7 PBE-GGA optimized geometry
# DOS(E_F): 4.66 states/eV/f.u.
# crystal system: trigonal
# SG: R-3m (166)
data_Dy2Zn7
_cell_length_a 5.4243
_cell_length_b 5.4243
_cell_length_c 13.0221
_cell_angle_alpha 77.98
_cell_angle_beta 77.98
_cell_angle_gamma 60.00
_symmetry_space_group_name_H-M 'P 1'
_symmetry_Int_Tables_number 1
loop_
_symmetry_equiv_pos_as_xyz
'x,y,z'
loop_
_atom_site_label
_atom_site_fract_x
_atom_site_fract_y
_atom_site_fract_z
_atom_site_occupancy
Zn1 0.8948 0.3873 0.3306 1
Zn2 0.7215 0.7215 0.8356 1
Zn3 0.0000 0.5000 0.0000 1
Zn4 0.5000 0.0000 0.0000 1
Zn5 0.5000 0.5000 0.0000 1
Zn6 0.2785 0.2785 0.1644 1
Zn7 0.3889 0.3889 0.8333 1
Dy1 0.1486 0.1486 0.5541 1
Zn8 0.3873 0.3873 0.3306 1
Zn9 0.3873 0.8948 0.3306 1
Zn10 0.5000 0.5000 0.5000 1
Dy2 0.0516 0.0516 0.8451 1
Zn11 0.6127 0.1052 0.6694 1
Zn12 0.1052 0.6127 0.6694 1
Dy3 0.8514 0.8514 0.4459 1
Zn13 0.6127 0.6127 0.6694 1
Dy4 0.9484 0.9484 0.1549 1
Zn14 0.6111 0.6111 0.1667 1


5.
# ScMnRh PBE-GGA optimized geometry
# DOS(E_F): 2.84 states/eV/f.u.
# crystal system: cubic
# SG: F-43m (216)
data_ScMnRh
_cell_length_a 4.3111
_cell_length_b 4.3111
_cell_length_c 4.3111
_cell_angle_alpha 60.00
_cell_angle_beta 60.00
_cell_angle_gamma 60.00
_symmetry_space_group_name_H-M 'P 1'
_symmetry_Int_Tables_number 1
loop_
_symmetry_equiv_pos_as_xyz
'x,y,z'
loop_
_atom_site_label
_atom_site_fract_x
_atom_site_fract_y
_atom_site_fract_z
_atom_site_occupancy
Rh1 0.5000 0.5000 0.5000 1
Mn1 0.0000 0.0000 0.0000 1
Sc1 0.7500 0.7500 0.7500 1


6.
# YEr2Co9 PBE-GGA optimized geometry
# DOS(E_F): 16.36 states/eV/f.u.
# crystal system: trigonal
# SG: R-3m (166)
data_YEr2Co9
_cell_length_a 4.9721
_cell_length_b 4.9721
_cell_length_c 8.5671
_cell_angle_alpha 73.13
_cell_angle_beta 73.13
_cell_angle_gamma 60.00
_symmetry_space_group_name_H-M 'P 1'
_symmetry_Int_Tables_number 1
loop_
_symmetry_equiv_pos_as_xyz
'x,y,z'
loop_
_atom_site_label
_atom_site_fract_x
_atom_site_fract_y
_atom_site_fract_z
_atom_site_occupancy
Er1 0.8600 0.8600 0.4201 1
Co1 0.3350 0.3350 0.9949 1
Co2 0.9218 0.4163 0.2455 1
Er2 0.1400 0.1400 0.5799 1
Co3 0.5000 0.5000 0.5000 1
Co4 0.4163 0.9218 0.2455 1
Co5 0.0782 0.5837 0.7545 1
Co6 0.4163 0.4163 0.2455 1
Co7 0.5837 0.0782 0.7545 1
Co8 0.5837 0.5837 0.7545 1
Co9 0.6650 0.6650 0.0051 1
Y1 0.0000 0.0000 0.0000 1


7.
# Zn4GaPt PBE-GGA optimized geometry
# DOS(E_F): 3.41 states/eV/f.u.
# crystal system: cubic
# SG: F-43m (216)
data_Zn4GaPt
_cell_length_a 5.0304
_cell_length_b 5.0304
_cell_length_c 5.0304
_cell_angle_alpha 60.00
_cell_angle_beta 60.00
_cell_angle_gamma 60.00
_symmetry_space_group_name_H-M 'P 1'
_symmetry_Int_Tables_number 1
loop_
_symmetry_equiv_pos_as_xyz
'x,y,z'
loop_
_atom_site_label
_atom_site_fract_x
_atom_site_fract_y
_atom_site_fract_z
_atom_site_occupancy
Zn1 0.6254 0.6254 0.1237 1
Pt1 0.0000 0.0000 0.0000 1
Ga1 0.2500 0.2500 0.2500 1
Zn2 0.6254 0.6254 0.6254 1
Zn3 0.1237 0.6254 0.6254 1
Zn4 0.6254 0.1237 0.6254 1


8.
# K2HfBiAs PBE-GGA optimized geometry
# DOS(E_F): 9.46 states/eV/f.u.
# crystal system: tetragonal
# SG: P4/mmm (123)
data_K2HfBiAs
_cell_length_a 6.0135
_cell_length_b 5.1079
_cell_length_c 6.0135
_cell_angle_alpha 90.00
_cell_angle_beta 90.00
_cell_angle_gamma 90.00
_symmetry_space_group_name_H-M 'P 1'
_symmetry_Int_Tables_number 1
loop_
_symmetry_equiv_pos_as_xyz
'x,y,z'
loop_
_atom_site_label
_atom_site_fract_x
_atom_site_fract_y
_atom_site_fract_z
_atom_site_occupancy
Hf1 0.0000 0.5000 0.0000 1
K1 0.0000 0.0000 0.5000 1
As1 0.0000 0.0000 0.0000 1
Bi1 0.5000 0.5000 0.5000 1
K2 0.5000 0.0000 0.0000 1


9.
# PAuBr4 PBE-GGA optimized geometry
# formation energy (no corrections): 1189 meV per atom
# DOS(E_F): 6.67 states/eV/f.u.
# crystal system: cubic
# SG: F-43m (216)
data_PAuBr4
_cell_length_a 6.1808
_cell_length_b 6.1808
_cell_length_c 6.1808
_cell_angle_alpha 60.00
_cell_angle_beta 60.00
_cell_angle_gamma 60.00
_symmetry_space_group_name_H-M 'P 1'
_symmetry_Int_Tables_number 1
loop_
_symmetry_equiv_pos_as_xyz
'x,y,z'
loop_
_atom_site_label
_atom_site_fract_x
_atom_site_fract_y
_atom_site_fract_z
_atom_site_occupancy
Br1 0.3740 0.3740 0.8779 1
Br2 0.8779 0.3740 0.3740 1
Br3 0.3740 0.8779 0.3740 1
P1 0.7500 0.7500 0.7500 1
Br4 0.3740 0.3740 0.3740 1
Au1 0.0000 0.0000 0.0000 1


10.
# AcTbZnIr PBE-GGA optimized geometry
# DOS(E_F): 1.34 states/eV/f.u.
# crystal system: cubic
# SG: F-43m (216)
data_AcTbZnIr
_cell_length_a 5.1714
_cell_length_b 5.1714
_cell_length_c 5.1714
_cell_angle_alpha 60.00
_cell_angle_beta 60.00
_cell_angle_gamma 60.00
_symmetry_space_group_name_H-M 'P 1'
_symmetry_Int_Tables_number 1
loop_
_symmetry_equiv_pos_as_xyz
'x,y,z'
loop_
_atom_site_label
_atom_site_fract_x
_atom_site_fract_y
_atom_site_fract_z
_atom_site_occupancy
Ac1 0.5000 0.5000 0.5000 1
Zn1 0.7500 0.7500 0.7500 1
Ir1 0.2500 0.2500 0.2500 1
Tb1 0.0000 0.0000 0.0000 1


11.
# Ta3ZnAu PBE-GGA optimized geometry
# DOS(E_F): 5.34 states/eV/f.u.
# crystal system: cubic
# SG: Pm-3m (221)
data_Ta3ZnAu
_cell_length_a 4.6613
_cell_length_b 4.6613
_cell_length_c 4.6613
_cell_angle_alpha 90.00
_cell_angle_beta 90.00
_cell_angle_gamma 90.00
_symmetry_space_group_name_H-M 'P 1'
_symmetry_Int_Tables_number 1
loop_
_symmetry_equiv_pos_as_xyz
'x,y,z'
loop_
_atom_site_label
_atom_site_fract_x
_atom_site_fract_y
_atom_site_fract_z
_atom_site_occupancy
Zn1 0.0000 0.0000 0.0000 1
Ta1 0.5000 0.0000 0.0000 1
Ta2 0.0000 0.0000 0.5000 1
Ta3 0.0000 0.5000 0.0000 1
Au1 0.5000 0.5000 0.5000 1


no.,size of the total moment (Bohr magnetons per cell),density (g/cm3),DFT total energy (eV/cell)
1,0.0,9.5,-18.91
2,0.0,6.5,-20.44
3,0.0,8.4,-85.04
4,0.0,8.1,-41.63
5,3.9,5.9,-22.02
6,10.8,9.2,-81.90
7,0.0,9.7,-14.72
8,0.0,4.9,-19.88
9,2.3,5.4,-8.24
10,0.0,10.9,-20.59
11,1.0,13.2,-33.76